! PBEsol Zn7Cr, optimized geometry; values from VASP
! N(E_F) ... 0.235 states/eV/atom
! Energy of formation ... 0.05 eV per atom
&SYSTEM
  ibrav = 0, nat = 8, ntyp = 2
/
ATOMIC_SPECIES
Cr 52.00 Cr.upf
Zn 65.41 Zn.upf
ATOMIC_POSITIONS crystal
Cr 0.000 0.000 0.000
Zn 0.500 0.000 0.500
Zn 0.500 0.000 0.000
Zn 0.000 0.000 0.500
Zn 0.500 0.500 0.000
Zn 0.000 0.500 0.500
Zn 0.000 0.500 0.000
Zn 0.500 0.500 0.500
CELL_PARAMETERS angstrom
-0.522 -4.591 -2.667
0.936 -4.638 2.465
-4.047 -3.290 1.120